# DyTm7Sc4

A relaxed structure of DyTm7Sc4 (PBE, the Alexandria database).

abc: 15.4044 5.6672 9.3533
angles: 90.00 121.59 90.00
Closest atoms and distances in Å follow each position.
Space group C2/m (No. 12)
Symmetry-distinct sites (fractional):
Dy1 0.0000 0.0000 0.0000 [2 per cell]  2 Tm 2.83
Tm1 0.0000 0.5000 0.0000 [2 per cell]  2 Dy 2.83, 2 Sc 2.91
Tm2 0.0863 0.0000 0.4411 [4 per cell]  5 Sc 3.19-3.43, 3 Tm 3.37-3.51
Tm3 0.2066 0.0000 0.8804 [4 per cell]  6 Tm 3.42-3.51, 4 Sc 3.50-3.71
Tm4 0.2471 0.0000 0.2815 [4 per cell]  4 Sc 3.02-3.24, 1 Dy 3.30
Sc1 0.0518 0.5000 0.7041 [4 per cell]  4 Tm 3.03-3.37, 2 Sc 3.21-3.28
Sc2 0.1706 0.5000 0.3455 [4 per cell]  5 Tm 2.91-3.24, 1 Sc 3.21

Calculated values
The calculation puts the total moment at 0.51 μB/f.u. As for the crystal system: monoclinic. The value obtained for the energy relative to the elements is 301 kJ/mol of formula units. Its total DFT energy (no corrections) is -4.84 eV per atom. As for the energy above the most stable polymorph in this dataset: 2.907 eV/f.u.